The following is a DFT calculation (SCAN) of a PBEsol-optimized structure of Y2Ag7.

extended XYZ file:
```
18
Lattice="-1.4894 1.4225 -4.9400 -3.6470 -1.8795 3.4370 -2.4545 12.9189 4.4602" Properties=species:S:1:pos:R:3 pbc="T T T"
Ag -5.4410 12.1720 1.7493
Ag -3.0104 4.8185 2.7713
Ag -5.2752 6.5804 2.8825
Ag -1.4554 1.3528 -1.4889
Ag -2.1499 0.2898 1.2078
Ag -4.5806 7.6434 0.1858
Ag -2.3158 5.8815 0.0746
Ag -6.1356 11.1091 4.4460
Ag -3.5243 10.3255 0.5756
Ag -4.0667 2.1364 2.3815
Ag -4.6149 8.6562 4.8103
Ag -2.9760 3.8056 -1.8532
Ag -5.3206 9.3796 2.3269
Ag -2.2704 3.0823 0.6302
Y -3.1533 11.3463 3.6603
Y -5.1006 4.6044 0.5013
Y -2.4904 7.8575 2.4558
Y -4.4377 1.1156 -0.7032
```

Properties
- Total moment: 0.00 μB/cell
- Formation energy from the elements: -0.2534 eV/atom


The following is a DFT calculation (SCAN) of a PBEsol-optimized structure of Y2Ag.

extended XYZ file:
```
9
Lattice="4.8647 0.0000 0.0000 0.0000 7.4817 0.0000 0.0000 -3.7409 6.4794" Properties=species:S:1:pos:R:3 pbc="T T T"
Ag 2.4324 0.0000 0.0000
Ag 0.0000 3.7409 2.1598
Ag 0.0000 0.0000 4.3196
Y 0.0000 -0.9745 1.6879
Y 2.4324 -2.2135 3.8338
Y 0.0000 2.7664 4.7915
Y 0.0000 1.9490 0.0000
Y 2.4324 1.5274 2.6456
Y 2.4324 4.4269 0.0000
```

Properties
- Total moment: 0.00 μB/cell
- Formation energy from the elements: -0.2636 eV/atom


The following is a DFT calculation (SCAN) of a PBEsol-optimized structure of Y3Ag2.

extended XYZ file:
```
5
Lattice="-0.5814 -0.5070 3.5460 3.2343 -1.6184 0.2989 2.6646 9.3794 -0.0790" Properties=species:S:1:pos:R:3 pbc="T T T"
Y 2.9850 6.2201 1.3787
Y 0.0000 0.0000 0.0000
Y 2.3326 1.0340 2.3872
Ag 1.6957 3.5335 0.7832
Ag 3.6219 3.7206 2.9827
```

Properties
- Total moment: 0.00 μB/cell
- Formation energy from the elements: -0.1940 eV/atom


The following is a DFT calculation (SCAN) of a PBEsol-optimized structure of Y2Ag.

extended XYZ file:
```
24
Lattice="-7.9602 5.2427 0.5773 -8.5257 -4.1087 -1.2709 -5.9190 -1.1068 7.4111" Properties=species:S:1:pos:R:3 pbc="T T T"
Ag -15.7225 1.5419 6.1288
Ag -16.6862 0.4321 2.9192
Ag -18.8743 0.0229 5.6590
Ag -15.9315 -1.9152 5.4456
Ag -12.2835 -1.5078 2.2681
Ag -11.3199 -0.3981 5.4777
Ag -9.1317 0.0111 2.7379
Ag -12.0745 1.9492 2.9513
Y -10.0229 -2.6043 3.9098
Y -14.0030 0.0170 4.1985
Y -11.0435 0.5704 0.4929
Y -9.7402 2.0714 4.8339
Y -6.8049 -1.9345 2.7120
Y -4.6074 -1.5236 -0.0394
Y -7.5628 0.4228 0.1749
Y -3.6397 -0.4091 3.1839
Y -6.5950 1.5373 3.3982
Y -4.3975 1.9482 0.6467
Y -13.2409 -3.2741 5.1076
Y -9.5195 -2.5782 0.4479
Y -14.5243 0.7180 0.8109
Y -7.8805 -0.6908 5.9066
Y -12.8854 2.6055 6.2696
Y -9.1639 3.3013 1.6099
```

Properties
- Total moment: 0.00 μB/cell
- Formation energy from the elements: -0.2809 eV/atom


The following is a DFT calculation (SCAN) of a PBEsol-optimized structure of Y5Ag4.

extended XYZ file:
```
18
Lattice="-1.1939 0.3876 -6.2595 -1.3529 -8.7900 -0.2863 -6.8023 5.4974 1.6379" Properties=species:S:1:pos:R:3 pbc="T T T"
Ag 0.0000 0.0000 0.0000
Ag -0.5970 0.1938 -3.1297
Ag -3.5332 2.4225 -4.0595
Ag -1.4201 -3.1178 -4.8056
Ag -5.8883 -1.7251 -3.8671
Ag -4.4630 3.4626 -0.5621
Ag -1.1268 -5.2845 -1.7401
Ag -3.4609 -1.1799 -1.0407
Y -5.7788 4.2373 -3.5188
Y -1.8667 -6.0195 -4.9001
Y -3.1961 -0.6381 -4.3133
Y -2.2175 1.6478 -1.1028
Y -0.6802 -2.3828 -1.6456
Y -6.1531 -2.2668 -0.5945
Y -4.9859 0.7350 0.9965
Y -3.7664 -3.8337 -2.7746
Y -3.1694 -4.0275 0.3551
Y -5.5828 0.9288 -2.1332
```

Properties
- Total moment: 0.00 μB/cell
- Formation energy from the elements: -0.2726 eV/atom


The following is a DFT calculation (SCAN) of a PBEsol-optimized structure of Y2Ag.

extended XYZ file:
```
6
Lattice="-0.1396 0.4289 -3.6919 3.4675 -5.5331 1.0997 -5.7547 -3.6448 -0.2058" Properties=species:S:1:pos:R:3 pbc="T T T"
Y 1.4321 -4.8834 -0.6214
Y -2.5902 -2.5568 -0.1991
Y -1.8039 -6.1429 -0.6454
Y 0.8956 -1.5786 -2.0908
Ag -2.1826 -8.3170 -2.7571
Ag -0.9396 -3.9336 -2.2949
```

Properties
- Total moment: 0.88 μB/cell
- Formation energy from the elements: -0.2340 eV/atom